Record 1
# Ba2CaSb

A relaxed Ba2CaSb crystal (GGA-PBE, Alexandria).

Magnetic moment (μB/f.u.): 0.0
E_form (uncorrected) (eV per atom): -0.2340
Theoretical density (g/cm3): 4.571
Total DFT energy (no corrections) (eV per atom): -2.73

POSCAR file:
```
Ba2CaSb
1.0
-1.992 -4.421 3.660
-3.139 -4.665 -2.301
2.518 -5.523 -0.258
Ba Sb Ca
2 1 1
Cartesian
-0.653 -3.652 0.275
0.000 0.000 0.000
-1.959 -10.957 0.826
-1.306 -7.305 0.550
```

Record 2
# Tb2SmDy

A relaxed Tb2SmDy crystal (GGA-PBE, Alexandria).

Magnetic moment (μB/f.u.): 0.0
Energy above the lowest structure with this stoichiometry (meV per atom): 112
Theoretical density (g/cm3): 8.065
Total DFT energy (no corrections) (eV per atom): -4.52
ΔH_f (0 K) (eV/f.u.): 0.50

POSCAR file:
```
Tb2SmDy
1.0
-1.582 0.359 -3.308
2.788 -4.881 -1.862
-5.192 -1.060 4.419
Tb Dy Sm
2 1 1
Cartesian
-3.098 -1.491 -0.731
-0.037 -0.027 0.015
-4.553 -3.295 1.820
-0.886 -4.090 -0.020
```

Record 3
# Pr7Y12Pu

A relaxed Pr7Y12Pu crystal (GGA-PBE, Alexandria).

Magnetic moment (μB/f.u.): 6.9
Theoretical density (g/cm3): 5.146
Total DFT energy (no corrections) (eV per atom): -5.62
ΔH_f (0 K) (eV/f.u.): 12.98

POSCAR file:
```
Pr7Y12Pu
1.0
9.310 0.000 -3.292
-4.655 8.063 -3.292
0.000 0.000 9.875
Pr Y Pu
7 12 1
Cartesian
-2.328 4.031 3.292
0.000 0.000 4.937
4.655 0.000 -1.646
-2.328 4.031 -1.646
2.328 4.031 -3.292
4.655 0.000 3.292
2.328 4.031 1.646
3.437 1.985 -0.001
1.147 1.984 3.241
5.800 6.077 -3.342
3.508 6.079 0.051
-0.001 3.969 0.001
1.218 6.077 3.293
5.872 1.984 6.582
-1.145 1.985 6.634
4.656 4.093 3.290
-1.217 6.079 -3.290
7.018 0.002 -0.051
-2.363 8.061 3.342
0.000 0.000 0.000
```